Below is Mg5Cd2Cu2Ag after structural relaxation, with properties calculated at the GGA-PBE level.

Results
Its space group is P4/mbm, No. 127. The value obtained for the energy relative to the elements is -0.057 eV/atom. The value obtained for the total energy is -2.14 eV/atom.

a b c (Å): 3.750 10.200 10.200
angles (deg): 90.00 90.00 90.00
Fractional coordinates of all 20 atoms:
Mg  0.500  0.202  0.074
Mg  0.500  0.798  0.926
Mg  0.500  0.074  0.798
Mg  0.500  0.702  0.426
Mg  0.500  0.926  0.202
Mg  0.500  0.298  0.574
Mg  0.500  0.574  0.702
Mg  0.500  0.426  0.298
Mg  0.500  0.500  0.000
Mg  0.500  0.000  0.500
Cd  0.000  0.671  0.171
Cd  0.000  0.329  0.829
Cd  0.000  0.171  0.329
Cd  0.000  0.829  0.671
Cu  0.000  0.127  0.627
Cu  0.000  0.873  0.373
Cu  0.000  0.627  0.873
Cu  0.000  0.373  0.127
Ag  0.000  0.000  0.000
Ag  0.000  0.500  0.500